[1]
The following is a DFT calculation (GGA-PBE) of a geometry-optimized InTcTeAu2 structure.

Cell: 5.0971 5.2409 5.0971 Å, 90.00 90.00 90.00°
Atoms (fractional coordinates):
Te: 0.5000 0.5000 0.5000
Au: 0.0000 0.0000 0.5000
Au: 0.5000 0.0000 0.0000
Tc: 0.0000 0.0000 0.0000
In: 0.0000 0.5000 0.0000

E_form (uncorrected)   0.898 eV per atom
ΔE to the lowest computed polymorph   0 meV per atom
M_tot   0.50 μB/atom


[2]
The following is a DFT calculation (GGA-PBE) of a geometry-optimized MnGe3W structure.

Cell: 4.9197 4.9197 4.9197 Å, 90.00 90.00 90.00°
Atoms (fractional coordinates):
Ge: 0.0000 0.5000 0.0000
Ge: 0.0000 0.0000 0.5000
Ge: 0.5000 0.0000 0.0000
Mn: 0.5000 0.5000 0.5000
W: 0.0000 0.0000 0.0000

Formation energy from the elements   0.753 eV per atom
ΔE to the lowest computed polymorph   0 meV per atom
M_tot   1.01 μB/atom